No. 1
An optimized crystal structure of Pm7In2Pd2, computed with PBE.

Cell lengths 7.050, 7.261, 7.050 Å; angles 89.99, 107.62, 90.01 degrees
Fractional coordinates of all 11 atoms:
Pm: 0.000 0.742 0.500
Pm: 0.500 0.749 0.500
Pm: 0.500 0.251 0.500
Pm: 0.000 0.000 0.000
Pm: 0.500 0.258 0.000
Pm: 0.500 0.742 0.000
Pm: 0.000 0.258 0.500
Pd: 0.291 0.000 0.709
Pd: 0.709 0.000 0.291
In: 0.171 0.500 0.171
In: 0.829 0.500 0.829

## Properties
Symmetry ... No. 65
Formation enthalpy at 0 K ... -0.329 eV/atom
DOS(E_F) ... 1.078 states/eV per atom
Total moment ... 0.000 μB/f.u.

***

No. 2
An optimized crystal structure of Pm5In4Pd, computed with PBE.

Cell lengths 3.629, 3.629, 20.805 Å; angles 90.00, 90.00, 90.00 degrees
Fractional coordinates of all 10 atoms:
Pm: 0.500 0.500 0.293
Pm: 0.500 0.500 0.500
Pm: 0.500 0.500 0.707
Pm: 0.500 0.500 0.915
Pm: 0.500 0.500 0.085
Pd: 0.000 0.000 0.000
In: 0.000 0.000 0.603
In: 0.000 0.000 0.397
In: 0.000 0.000 0.811
In: 0.000 0.000 0.189

## Properties
Symmetry ... No. 123
Formation enthalpy at 0 K ... -0.556 eV/atom
DOS(E_F) ... 0.350 states/eV per atom
Total moment ... 0.000 μB/f.u.

***

No. 3
An optimized crystal structure of PmIn2Pd5, computed with PBE.

Cell lengths 5.033, 5.033, 7.313 Å; angles 116.44, 116.44, 72.92 degrees
Fractional coordinates of all 8 atoms:
Pd: 0.369 0.869 0.738
Pd: 0.869 0.369 0.738
Pd: 0.631 0.131 0.262
Pd: 0.500 0.500 0.000
Pd: 0.131 0.631 0.262
Pm: 0.000 0.000 0.000
In: 0.728 0.728 0.455
In: 0.272 0.272 0.545

## Properties
Symmetry ... No. 69
Energy above the most stable polymorph in this dataset ... 5 meV/atom
Formation enthalpy at 0 K ... -0.596 eV/atom
DOS(E_F) ... 0.378 states/eV per atom
Total moment ... 0.000 μB/f.u.